1.
CeBe2Au2: relaxed, GGA-PBE.

```
10
Lattice="4.259 0.000 0.000 0.000 4.259 0.000 0.000 0.000 9.465" Properties=species:S:1:pos:R:3 pbc="T T T"
Ce 2.130 0.000 2.278
Ce 0.000 2.130 7.187
Be 0.000 2.130 3.561
Be 2.130 0.000 5.905
Be 2.130 2.130 0.000
Be 0.000 0.000 0.000
Au 2.130 2.130 4.733
Au 0.000 0.000 4.733
Au 0.000 2.130 1.161
Au 2.130 0.000 8.305
```

Values from the calculation:
For the total magnetization, the calculation gives 0.96 μB per formula unit. The value obtained for the formation energy is -1.95 eV/f.u. The space group is No. 129.

2.
CeBeAu4: relaxed, GGA-PBE.

```
12
Lattice="5.678 0.149 1.979 2.232 5.223 1.979 -0.101 -0.068 7.835" Properties=species:S:1:pos:R:3 pbc="T T T"
Ce 6.204 4.213 9.433
Ce 1.605 1.090 2.361
Be 4.272 2.901 3.739
Be 3.538 2.403 8.055
Au 5.926 4.024 4.765
Au 2.255 3.430 4.810
Au 3.074 3.983 1.979
Au 3.790 4.472 6.983
Au 1.884 1.279 7.029
Au 5.554 1.873 6.983
Au 4.836 1.389 1.979
Au 4.020 0.831 4.810
```

Values from the calculation:
For the total magnetization, the calculation gives 0.94 μB per formula unit. The value obtained for the formation energy is -2.48 eV/f.u. The space group is No. 12.

3.
CeBeAu3: relaxed, GGA-PBE.

```
5
Lattice="-4.415 0.177 -1.421 1.160 -2.260 -3.884 -0.840 -4.050 2.106" Properties=species:S:1:pos:R:3 pbc="T T T"
Be 0.000 0.000 0.000
Au 0.580 -1.130 -1.942
Au -0.420 -2.025 1.053
Au -2.207 0.089 -0.711
Ce -2.048 -3.067 -1.600
```

Values from the calculation:
For the total magnetization, the calculation gives 1.07 μB per formula unit. The energy above the lowest structure with this stoichiometry comes out at 0.093 eV/atom. The value obtained for the formation energy is -1.97 eV/f.u. The space group is No. 221.

4.
CeBeAu3: relaxed, GGA-PBE.

```
5
Lattice="0.459 -1.348 4.044 3.011 -2.777 -1.265 5.469 1.621 2.192" Properties=species:S:1:pos:R:3 pbc="T T T"
Ce 5.737 0.352 3.343
Be 6.046 -1.314 0.482
Au 5.536 -2.719 2.343
Au 3.801 -0.656 0.954
Au 2.642 -2.700 2.677
```

Values from the calculation:
For the total magnetization, the calculation gives 0.90 μB per formula unit. The energy above the lowest structure with this stoichiometry comes out at 0.000 eV/atom. The value obtained for the formation energy is -2.43 eV/f.u. The space group is No. 107.

5.
CeBe4Au12: relaxed, GGA-PBE.

```
17
Lattice="7.356 0.000 0.000 -2.452 6.935 0.000 -2.452 -3.467 6.006" Properties=species:S:1:pos:R:3 pbc="T T T"
Ce 0.000 0.000 0.000
Be -1.226 3.467 0.000
Be 3.678 0.000 0.000
Be 1.226 1.734 3.003
Be -1.226 -1.734 3.003
Au 4.883 1.748 0.976
Au 0.797 2.904 1.026
Au 4.107 -1.127 4.004
Au 0.021 -1.748 4.980
Au -1.655 4.594 2.002
Au 1.655 0.563 4.980
Au 2.472 0.029 2.002
Au -0.021 3.439 4.004
Au 2.431 5.215 1.026
Au 3.249 2.904 2.978
Au -0.797 0.564 3.028
Au -2.431 1.719 5.030
```

Values from the calculation:
For the total magnetization, the calculation gives 0.78 μB per formula unit. The value obtained for the formation energy is -1.89 eV/f.u. The space group is No. 204.

6.
CeBeAu2: relaxed, GGA-PBE.

```
4
Lattice="-0.015 -4.248 0.010 0.541 -2.135 -3.632 5.289 -2.144 -0.436" Properties=species:S:1:pos:R:3 pbc="T T T"
Be 2.908 -4.263 -2.029
Au 3.812 -6.393 -3.126
Au 2.004 -2.133 -0.932
Ce 0.000 0.000 0.000
```

Values from the calculation:
For the total magnetization, the calculation gives 0.96 μB per formula unit. The value obtained for the formation energy is -1.58 eV/f.u. The space group is No. 166.

7.
CeBe4Au8: relaxed, GGA-PBE.

```
13
Lattice="-2.051 -1.579 4.592 -2.796 -6.244 -0.370 4.524 -3.369 3.888" Properties=species:S:1:pos:R:3 pbc="T T T"
Ce 0.000 0.000 0.000
Be 2.262 -1.685 1.944
Be 1.237 -2.474 4.240
Be -1.398 -3.122 -0.185
Be -2.424 -3.911 2.111
Au 2.105 -4.319 2.481
Au -0.376 -5.294 1.037
Au 0.479 -6.958 3.873
Au -0.802 -4.234 4.237
Au -2.196 -6.395 2.871
Au 1.873 -4.797 5.238
Au -0.186 -2.573 2.057
Au -0.136 -8.618 6.052
```

Values from the calculation:
For the total magnetization, the calculation gives 0.71 μB per formula unit. The value obtained for the formation energy is -3.07 eV/f.u. The space group is No. 139.

8.
Ce2Be7Au12: relaxed, GGA-PBE.

```
21
Lattice="-0.306 -4.103 -0.318 5.047 -1.026 8.370 -9.799 0.712 0.226" Properties=species:S:1:pos:R:3 pbc="T T T"
Ce -4.926 -0.883 2.862
Ce -0.132 -3.534 5.416
Be -0.153 -2.052 -0.159
Be 1.625 -1.757 7.453
Be 0.853 -1.373 3.236
Be -2.418 -1.346 6.035
Be -6.684 -2.659 0.825
Be -5.911 -3.044 5.042
Be -2.641 -3.070 2.243
Au 2.285 -1.605 5.134
Au -1.481 -1.224 3.840
Au -0.738 -1.583 7.754
Au -7.343 -2.811 3.144
Au -3.577 -3.192 4.438
Au -4.320 -2.833 0.524
Au -1.998 -0.946 0.993
Au -7.995 -0.521 1.272
Au -4.784 -1.152 6.324
Au -3.061 -3.471 7.286
Au 2.937 -3.896 7.006
Au -0.274 -3.265 1.954
```

Values from the calculation:
For the total magnetization, the calculation gives 1.50 μB per formula unit. The value obtained for the formation energy is -5.91 eV/f.u. The space group is No. 147.

9.
CeBe5Au7: relaxed, GGA-PBE.

```
13
Lattice="-4.275 -1.749 2.016 -3.793 -3.268 -4.578 0.765 -6.265 2.487" Properties=species:S:1:pos:R:3 pbc="T T T"
Ce -4.265 -1.814 1.982
Be -5.504 -7.221 -2.272
Be -3.425 -6.371 -3.252
Be -3.273 -8.687 1.185
Be -1.195 -7.837 0.205
Be -5.454 -8.607 -0.132
Au -3.835 -4.495 0.567
Au -3.427 -7.041 -0.776
Au -5.032 -7.202 1.980
Au -6.479 -6.251 -0.262
Au -1.854 -2.644 0.075
Au -5.075 -4.491 -2.057
Au -2.306 -6.312 2.235
```

Values from the calculation:
For the total magnetization, the calculation gives 0.58 μB per formula unit. The value obtained for the formation energy is -3.14 eV/f.u. The space group is No. 44.

10.
CeBe3Au10: relaxed, GGA-PBE.

```
28
Lattice="7.650 0.000 4.417 2.550 7.212 4.417 0.000 0.000 8.833" Properties=species:S:1:pos:R:3 pbc="T T T"
Ce 2.550 1.803 4.417
Ce 7.650 5.409 13.250
Be 7.524 5.320 8.833
Be 6.312 1.892 10.933
Be 3.888 5.320 10.933
Be 2.676 1.892 8.833
Be 6.312 1.892 6.734
Be 3.888 5.320 6.734
Au 0.000 0.000 2.994
Au 0.864 2.444 1.497
Au 2.592 0.000 1.497
Au 5.922 2.444 4.417
Au 3.951 2.794 6.843
Au 2.801 4.419 8.833
Au 5.100 6.044 8.833
Au 5.057 0.000 5.913
Au 3.951 2.794 10.824
Au 7.399 2.794 8.833
Au 6.249 4.419 6.843
Au 0.000 0.000 5.840
Au 4.278 4.768 4.417
Au 1.686 4.768 5.913
Au 0.864 2.444 7.337
Au 5.057 0.000 2.920
Au 6.249 4.419 10.824
Au 1.686 4.768 2.920
Au 5.100 1.168 8.833
Au 2.592 0.000 7.337
```

Values from the calculation:
For the total magnetization, the calculation gives 0.89 μB per formula unit. The value obtained for the formation energy is -3.44 eV/f.u. The space group is No. 225.

11.
CeBeCuAu6: relaxed, GGA-PBE.

```
18
Lattice="-1.662 6.681 -1.570 -8.322 -2.426 -1.518 3.756 -1.194 6.827" Properties=species:S:1:pos:R:3 pbc="T T T"
Ce -3.444 3.136 1.111
Ce -2.784 -0.075 2.628
Be -4.992 2.127 -1.544
Be -0.831 3.341 -0.785
Cu 1.047 2.744 2.629
Cu 1.878 -0.597 3.414
Au -7.253 1.657 -1.155
Au 0.031 4.868 4.803
Au -1.644 5.476 0.081
Au -4.797 0.459 0.230
Au -0.694 1.655 0.979
Au -5.747 4.280 -0.667
Au 1.024 1.405 4.894
Au -6.259 -1.807 -1.064
Au -4.584 -2.415 3.658
Au -1.431 2.602 3.509
Au -5.535 1.406 2.760
Au -0.481 -1.218 4.406
```

Values from the calculation:
For the total magnetization, the calculation gives 0.86 μB per formula unit. The value obtained for the formation energy is -1.49 eV/f.u. The space group is No. 74.

12.
Ce2BeGa4Au3: relaxed, GGA-PBE.

```
10
Lattice="-0.114 -2.708 3.296 3.673 1.615 1.454 -5.521 7.315 5.819" Properties=species:S:1:pos:R:3 pbc="T T T"
Ce -1.504 0.563 3.173
Ce -2.238 6.206 5.021
Be -0.981 3.111 5.285
Ga 1.779 -0.547 2.375
Ga 0.000 0.000 0.000
Ga -3.512 3.224 5.290
Ga -0.229 3.545 2.904
Au -2.761 3.658 2.909
Au -4.796 4.925 6.643
Au 1.055 1.843 1.551
```

Values from the calculation:
For the total magnetization, the calculation gives 1.22 μB per formula unit. The value obtained for the formation energy is -5.03 eV/f.u. The space group is No. 115.